A relaxed CoTeOF2 crystal, computed with PBE with a Hubbard U.

Cell lengths 4.3291, 4.3291, 3.6772 Å; angles 90.00, 90.00, 90.00 degrees
Space group P4/mmm (No. 123)
Inequivalent atoms, fractional coordinates:
Co (0.0000, 0.0000, 0.0000) [1 per cell]
Te (0.5000, 0.5000, 0.5000) [1 per cell]
O (0.0000, 0.0000, 0.5000) [1 per cell]
F (0.0000, 0.5000, 0.0000) [2 per cell]

Properties
As for the density of states at the Fermi level: 4.2 states/eV/f.u. Its energy above the most stable polymorph in this dataset is 0.000 eV/atom.